(1)
La2Al9Pd3 | the Alexandria database | GGA-PBE | relaxed; crystal system = monoclinic; space-group type = C2/c (15); total DFT energy (no corrections) = -0.3605 Ry/atom; DFT formation energy = -0.683 eV/atom
1.0
6.764 -3.886 0.000
6.764 3.886 0.000
-4.477 0.000 9.711
La Al Pd
4 18 6
Cartesian
1.164 0.652 2.430
-1.075 -0.652 7.286
10.125 0.652 2.426
7.887 -0.652 7.281
5.634 3.201 0.705
5.655 3.201 4.151
1.190 0.626 5.544
4.264 1.413 2.450
1.171 0.648 9.210
3.428 -0.626 0.689
3.406 0.951 7.284
7.024 1.413 2.406
3.409 -0.648 4.355
5.641 0.648 5.357
2.026 -1.413 7.305
5.644 -0.951 2.428
5.622 0.626 9.023
7.879 -0.648 0.501
4.786 -1.413 7.262
7.860 -0.626 4.167
3.396 -3.201 5.560
3.416 -3.201 9.007
3.382 1.943 0.000
3.382 1.989 4.855
7.907 1.989 0.001
1.143 -1.943 4.856
1.143 -1.989 9.710
5.669 -1.989 4.857

***

(2)
La4AlPd3 | the Alexandria database | GGA-PBE | relaxed; crystal system = orthorhombic; space-group type = Pmm2 (25); total DFT energy (no corrections) = -0.4091 Ry/atom; DFT formation energy = -0.688 eV/atom
1.0
4.038 0.000 0.000
0.000 4.585 0.000
0.000 0.000 11.521
La Al Pd
4 1 3
Cartesian
0.000 0.000 0.000
0.000 2.292 3.022
2.019 0.000 5.591
2.019 2.292 8.942
0.000 0.000 8.061
0.000 2.292 6.446
2.019 0.000 2.514
2.019 2.292 0.585

***

(3)
LaAl5Pd2 | the Alexandria database | GGA-PBE | relaxed; crystal system = monoclinic; space-group type = C2/m (12); total DFT energy (no corrections) = -0.3653 Ry/atom; DFT formation energy = -0.716 eV/atom
1.0
5.404 -3.632 0.000
5.404 3.632 0.000
-1.552 0.000 3.832
La Al Pd
1 5 2
Cartesian
0.000 0.000 0.000
3.253 1.375 1.348
6.003 1.375 2.485
5.404 0.000 0.000
3.253 -1.375 1.348
6.003 -1.375 2.485
1.623 0.000 2.912
7.633 0.000 0.920

***

(4)
La2Al3Pd5 | the Alexandria database | GGA-PBE | relaxed; crystal system = orthorhombic; space-group type = Cmc2_1 (36); total DFT energy (no corrections) = -0.4055 Ry/atom; DFT formation energy = -0.813 eV/atom
1.0
2.135 -12.962 0.000
2.135 12.962 0.000
0.000 0.000 6.979
La Al Pd
4 6 10
Cartesian
2.135 12.356 3.490
2.135 4.502 3.320
2.135 -4.502 6.809
2.135 -12.356 0.000
2.135 9.450 2.349
2.135 5.627 6.458
2.135 1.319 2.276
2.135 -1.319 5.766
2.135 -5.627 2.969
2.135 -9.450 5.839
2.135 10.369 5.774
2.135 7.787 4.487
2.135 7.033 1.579
2.135 3.131 0.300
2.135 1.476 4.855
2.135 -1.476 1.365
2.135 -3.131 3.790
2.135 -7.033 5.069
2.135 -7.787 0.997
2.135 -10.369 2.284

***

(5)
La2AlPd6 | the Alexandria database | GGA-PBE | relaxed; crystal system = trigonal; space-group type = P-3m1 (164); total DFT energy (no corrections) = -0.4287 Ry/atom; DFT formation energy = -0.860 eV/atom
1.0
5.827 0.000 0.000
-2.913 5.046 0.000
0.000 0.000 5.926
La Al Pd
2 1 6
Cartesian
0.000 3.364 1.184
2.913 1.682 4.742
0.000 0.000 0.000
0.000 1.720 4.110
-1.424 4.186 4.110
1.490 0.860 1.816
1.424 4.186 4.110
4.337 0.860 1.816
2.913 3.326 1.816

***

(6)
LaAl2Pd2 | the Alexandria database | GGA-PBE | relaxed; crystal system = tetragonal; space-group type = P4/mbm (127); total DFT energy (no corrections) = -0.3798 Ry/atom; DFT formation energy = -0.608 eV/atom
1.0
7.924 0.000 0.000
0.000 7.924 0.000
0.000 0.000 2.990
La Al Pd
2 4 4
Cartesian
0.000 0.000 0.000
3.962 3.962 0.000
1.162 2.800 1.495
2.800 6.762 1.495
5.124 1.162 1.495
6.762 5.124 1.495
1.074 5.036 0.000
2.888 1.074 0.000
5.036 6.850 0.000
6.850 2.888 0.000